Ac5In2P | the Alexandria database | GGA-PBE | relaxed; SG = Pnma; energy relative to the elements = -532 meV per atom; volume = 299 Å³/f.u.
1.0
9.502 0.000 0.000
0.000 9.504 0.000
0.000 0.000 13.255
P In Ac
4 8 20
Direct
0.499 0.250 0.500
0.501 0.750 0.500
0.001 0.250 0.000
0.999 0.750 0.000
0.071 0.500 0.322
0.571 0.500 0.178
0.071 0.000 0.322
0.429 0.500 0.822
0.429 0.000 0.822
0.571 0.000 0.178
0.929 0.000 0.678
0.929 0.500 0.678
0.349 0.250 0.299
0.315 0.500 0.568
0.815 0.000 0.932
0.500 0.250 0.000
0.000 0.250 0.500
0.000 0.750 0.500
0.685 0.500 0.432
0.500 0.750 0.000
0.815 0.500 0.932
0.685 0.000 0.432
0.650 0.250 0.701
0.850 0.250 0.201
0.185 0.000 0.068
0.315 0.000 0.568
0.651 0.750 0.701
0.849 0.750 0.201
0.350 0.750 0.299
0.185 0.500 0.068
0.150 0.750 0.799
0.151 0.250 0.799